# 1
A plane-wave DFT calculation with PBE was carried out for an optimized crystal structure of CrIn2SbN.

Computed properties:
Polymorph energy (0 for the lowest one)   0 meV per atom
Space-group type   P4/mmm, No. 123
Total moment   3.95 Bohr magnetons per cell

Unit cell a=5.1823 b=4.8822 c=5.1823 alpha=90.00 beta=90.00 gamma=90.00
Closest atoms and distances in Å follow each position.
Element x y z (fractional)
Sb 0.0000 0.5000 0.0000  2 Cr 2.44
N 0.5000 0.5000 0.5000  8 In 3.56, 4 Sb 3.66
Cr 0.0000 0.0000 0.0000  2 Sb 2.44, 4 In 2.59
In 0.0000 0.0000 0.5000  2 Cr 2.59
In 0.5000 0.0000 0.0000  2 Cr 2.59

***

# 2
A plane-wave DFT calculation with PBE was carried out for an optimized crystal structure of CrIn2SbN.

Computed properties:
Polymorph energy (0 for the lowest one)   831 meV per atom
Space-group type   P4/mmm, No. 123
Total moment   1.91 Bohr magnetons per cell

Unit cell a=5.9021 b=4.9053 c=5.9021 alpha=90.00 beta=90.00 gamma=90.00
Closest atoms and distances in Å follow each position.
Element x y z (fractional)
Sb 0.0000 0.0000 0.0000  2 Cr 2.45
N 0.5000 0.5000 0.5000  8 In 3.84, 4 Cr 4.17
Cr 0.0000 0.5000 0.0000  2 Sb 2.45
In 0.0000 0.0000 0.5000  2 Sb 2.95
In 0.5000 0.0000 0.0000  2 Sb 2.95

***

# 3
A plane-wave DFT calculation with PBE was carried out for an optimized crystal structure of Sc2CrInN.

Computed properties:
Polymorph energy (0 for the lowest one)   0 meV per atom
Space-group type   P4/mmm, No. 123
Total moment   0.00 Bohr magnetons per cell

Unit cell a=4.5690 b=4.5690 c=3.8043 alpha=90.00 beta=90.00 gamma=90.00
Closest atoms and distances in Å follow each position.
Element x y z (fractional)
Sc 0.0000 0.5000 0.0000  2 N 2.28
Sc 0.5000 0.0000 0.0000  2 N 2.28
Cr 0.0000 0.0000 0.5000  2 N 1.90
N 0.0000 0.0000 0.0000  2 Cr 1.90
In 0.5000 0.5000 0.5000  8 Sc 2.97, 4 Cr 3.23

***

# 4
A plane-wave DFT calculation with PBE was carried out for an optimized crystal structure of Sc2CrInN.

Computed properties:
Polymorph energy (0 for the lowest one)   1957 meV per atom
Space-group type   P4/mmm, No. 123
Total moment   1.80 Bohr magnetons per cell

Unit cell a=4.6680 b=4.9818 c=4.6680 alpha=90.00 beta=90.00 gamma=90.00
Closest atoms and distances in Å follow each position.
Element x y z (fractional)
Sc 0.0000 0.0000 0.5000  2 Cr 2.33
Sc 0.5000 0.0000 0.0000  2 Cr 2.33
Cr 0.0000 0.0000 0.0000  4 Sc 2.33, 2 In 2.49
N 0.5000 0.5000 0.5000  4 In 3.30, 8 Sc 3.41
In 0.0000 0.5000 0.0000  2 Cr 2.49

***

# 5
A plane-wave DFT calculation with PBE was carried out for an optimized crystal structure of CrInSeN2.

Computed properties:
Space-group type   P4/mmm, No. 123
Uncorrected energy   -25.52 eV/cell
Total moment   1.05 Bohr magnetons per cell

Unit cell a=4.1851 b=4.1851 c=5.6363 alpha=90.00 beta=90.00 gamma=90.00
Closest atoms and distances in Å follow each position.
Element x y z (fractional)
Cr 0.5000 0.5000 0.5000  4 Se 2.96
N 0.0000 0.5000 0.0000  2 In 2.09
N 0.5000 0.0000 0.0000  2 In 2.09
Se 0.0000 0.0000 0.5000  2 In 2.82, 4 Cr 2.96
In 0.0000 0.0000 0.0000  4 N 2.09

***

# 6
A plane-wave DFT calculation with PBE was carried out for an optimized crystal structure of CrIn2SiN.

Computed properties:
Space-group type   P4/mmm, No. 123
Uncorrected energy   -20.04 eV/cell
Total moment   0.59 Bohr magnetons per cell

Unit cell a=5.0205 b=4.3988 c=5.0205 alpha=90.00 beta=90.00 gamma=90.00
Closest atoms and distances in Å follow each position.
Element x y z (fractional)
Cr 0.0000 0.5000 0.0000  2 Si 2.20
Si 0.0000 0.0000 0.0000  2 Cr 2.20
N 0.5000 0.5000 0.5000  8 In 3.34, 4 Cr 3.55
In 0.0000 0.0000 0.5000  2 Si 2.51
In 0.5000 0.0000 0.0000  2 Si 2.51

***

# 7
A plane-wave DFT calculation with PBE was carried out for an optimized crystal structure of CrInSiN2.

Computed properties:
Space-group type   P4/mmm, No. 123
Uncorrected energy   -30.16 eV/cell
Total moment   0.00 Bohr magnetons per cell

Unit cell a=3.7638 b=3.7638 c=5.7356 alpha=90.00 beta=90.00 gamma=90.00
Closest atoms and distances in Å follow each position.
Element x y z (fractional)
Cr 0.0000 0.0000 0.0000  4 N 1.88
Si 0.5000 0.5000 0.5000  4 In 2.66
N 0.0000 0.5000 0.0000  2 Cr 1.88
N 0.5000 0.0000 0.0000  2 Cr 1.88
In 0.0000 0.0000 0.5000  4 Si 2.66, 2 Cr 2.87

***

# 8
A plane-wave DFT calculation with PBE was carried out for an optimized crystal structure of Sr2CrInN.

Computed properties:
Space-group type   P4/mmm, No. 123
Uncorrected energy   -25.98 eV/cell
Total moment   2.71 Bohr magnetons per cell

Unit cell a=5.6276 b=5.6276 c=3.8208 alpha=90.00 beta=90.00 gamma=90.00
Closest atoms and distances in Å follow each position.
Element x y z (fractional)
Sr 0.0000 0.5000 0.0000  2 N 2.81
Sr 0.5000 0.0000 0.0000  2 N 2.81
N 0.0000 0.0000 0.0000  2 Cr 1.91
Cr 0.0000 0.0000 0.5000  2 N 1.91
In 0.5000 0.5000 0.5000  8 Sr 3.40

***

# 9
A plane-wave DFT calculation with PBE was carried out for an optimized crystal structure of SrCrInN2.

Computed properties:
Space-group type   P4/mmm, No. 123
Uncorrected energy   -21.49 eV/cell
Total moment   5.39 Bohr magnetons per cell

Unit cell a=4.3573 b=6.0909 c=4.3573 alpha=90.00 beta=90.00 gamma=90.00
Closest atoms and distances in Å follow each position.
Element x y z (fractional)
Sr 0.0000 0.5000 0.0000  2 In 3.05, 4 Cr 3.08
N 0.0000 0.0000 0.5000  2 In 2.18
N 0.5000 0.0000 0.0000  2 In 2.18
Cr 0.5000 0.5000 0.5000  4 Sr 3.08
In 0.0000 0.0000 0.0000  4 N 2.18

***

# 10
A plane-wave DFT calculation with PBE was carried out for an optimized crystal structure of CrInTcN.

Computed properties:
Polymorph energy (0 for the lowest one)   62 meV per atom
Space-group type   R3m, No. 160
Total moment   0.79 Bohr magnetons per cell

Unit cell a=6.8729 b=3.0847 c=5.3393 alpha=90.00 beta=104.98 gamma=90.00
Closest atoms and distances in Å follow each position.
Element x y z (fractional)
Cr 0.2305 0.0000 0.7139  3 N 1.91
Cr 0.2305 0.5000 0.2139  3 N 1.91
In 0.8709 0.0000 0.9273  3 Tc 2.91-2.92, 3 Cr 2.98, 6 In 3.08, 1 N 3.08
In 0.8709 0.5000 0.4273  3 Tc 2.91-2.92, 3 Cr 2.98, 6 In 3.08, 1 N 3.08
Tc 0.5232 0.0000 0.4780  3 N 2.17
Tc 0.5232 0.5000 0.9780  3 N 2.17
N 0.3354 0.0000 0.0825  3 Cr 1.91
N 0.3354 0.5000 0.5825  3 Cr 1.91

***

# 11
A plane-wave DFT calculation with PBE was carried out for an optimized crystal structure of CrInTcN.

Computed properties:
Polymorph energy (0 for the lowest one)   24 meV per atom
Space-group type   R3m, No. 160
Total moment   0.00 Bohr magnetons per cell

Unit cell a=3.0891 b=3.0891 c=19.8324 alpha=90.00 beta=90.00 gamma=120.00
Closest atoms and distances in Å follow each position.
Element x y z (fractional)
Cr 0.0000 0.0000 0.0410  3 N 1.89
Cr 0.3333 0.6667 0.7077  3 N 1.89
Cr 0.6667 0.3333 0.3744  3 N 1.89
In 0.0000 0.0000 0.8275  3 Tc 2.92, 3 Cr 2.97, 6 In 3.09
In 0.3333 0.6667 0.4942  3 Tc 2.92, 3 Cr 2.97, 6 In 3.09
In 0.6667 0.3333 0.1608  3 Tc 2.92, 3 Cr 2.97, 6 In 3.09
Tc 0.0000 0.0000 0.6107  3 N 2.21
Tc 0.3333 0.6667 0.2774  3 N 2.21
Tc 0.6667 0.3333 0.9440  3 N 2.21
N 0.0000 0.0000 0.3428  3 Cr 1.89
N 0.3333 0.6667 0.0095  3 Cr 1.89
N 0.6667 0.3333 0.6761  3 Cr 1.89

***

# 12
A plane-wave DFT calculation with PBE was carried out for an optimized crystal structure of CrInTcN.

Computed properties:
Polymorph energy (0 for the lowest one)   23 meV per atom
Space-group type   Amm2, No. 38
Total moment   0.71 Bohr magnetons per cell

Unit cell a=2.8951 b=3.6474 c=5.8218 alpha=90.00 beta=104.39 gamma=90.00
Closest atoms and distances in Å follow each position.
Element x y z (fractional)
Cr 0.5968 0.5000 0.5753  2 N 1.84
In 0.8761 0.5000 0.1339  3 Cr 2.88-3.15, 2 In 2.90, 4 Tc 3.02
Tc 0.2059 0.0000 0.7936  2 N 2.05
N 0.5777 0.0000 0.5371  2 Cr 1.84, 2 Tc 2.05